Compound: RbScSb2I
Source: Alexandria
Functional: PBE
Structure: relaxed

Values from the calculation:
As for the calculated total energy: -12.13 eV for the cell shown. Its energy above the most stable polymorph in this dataset is 1476 meV/atom. As for the energy relative to the elements, uncorrected: 991.9 meV per atom. As for the spin magnetization: 0.00 μB/f.u. The value obtained for the density of states at the Fermi level is 5.84 states/eV/f.u. As for the calculated volume: 43.18 Å³/atom.

Structure (CIF):
```
data_RbScSb2I
_space_group_name_H-M_alt 'P 4/m m m'
_space_group_IT_number 123
_space_group_name_Hall '-P 4 2'
_cell_length_a 5.9353
_cell_length_b 5.9353
_cell_length_c 6.1289
_cell_angle_alpha 90.00
_cell_angle_beta 90.00
_cell_angle_gamma 90.00
loop_
_atom_site_label
_atom_site_type_symbol
_atom_site_fract_x
_atom_site_fract_y
_atom_site_fract_z
Rb1 Rb 0.0000 0.0000 0.0000
Sc1 Sc 0.5000 0.5000 0.5000
Sb1 Sb 0.0000 0.5000 0.0000
I1 I 0.0000 0.0000 0.5000
```

Compound: ScCd3Bi
Source: Alexandria
Functional: PBE
Structure: relaxed

Values from the calculation:
As for the calculated total energy: -9.89 eV for the cell shown. Its energy above the most stable polymorph in this dataset is 0 meV/atom. As for the spin magnetization: 0.00 μB/f.u. The value obtained for the density of states at the Fermi level is 4.47 states/eV/f.u. As for the calculated volume: 33.05 Å³/atom. The calculation puts the energy relative to the elements at 0.613 eV/atom.

Structure (CIF):
```
data_ScCd3Bi
_space_group_name_H-M_alt 'P m -3 m'
_space_group_IT_number 221
_space_group_name_Hall '-P 4 2 3'
_cell_length_a 5.4877
_cell_length_b 5.4877
_cell_length_c 5.4877
_cell_angle_alpha 90.00
_cell_angle_beta 90.00
_cell_angle_gamma 90.00
loop_
_atom_site_label
_atom_site_type_symbol
_atom_site_fract_x
_atom_site_fract_y
_atom_site_fract_z
Sc1 Sc 0.0000 0.0000 0.0000
Cd1 Cd 0.0000 0.0000 0.5000
Bi1 Bi 0.5000 0.5000 0.5000
```

Compound: BeNiTe
Source: Alexandria
Functional: PBE
Structure: relaxed

Values from the calculation:
As for the calculated total energy: -53.51 eV for the cell shown. As for the energy relative to the elements, uncorrected: -243.0 meV per atom. As for the spin magnetization: 0.00 μB/f.u. The value obtained for the density of states at the Fermi level is 1.11 states/eV/f.u. As for the calculated volume: 17.61 Å³/atom.

Structure (CIF):
```
data_BeNiTe
_space_group_name_H-M_alt 'C 1 m 1'
_space_group_IT_number 8
_space_group_name_Hall 'C -2y'
_cell_length_a 6.3068
_cell_length_b 3.6429
_cell_length_c 9.4404
_cell_angle_alpha 90.00
_cell_angle_beta 102.99
_cell_angle_gamma 90.00
loop_
_atom_site_label
_atom_site_type_symbol
_atom_site_fract_x
_atom_site_fract_y
_atom_site_fract_z
Be1 Be 0.0000 0.0000 0.0000
Be2 Be 0.1658 0.5000 0.9977
Ni1 Ni 0.2893 0.0000 0.8698
Ni2 Ni 0.3762 0.0000 0.1268
Te1 Te 0.0697 0.5000 0.7118
Te2 Te 0.2628 0.5000 0.2848
```

Compound: YSc3Al
Source: Alexandria
Functional: PBE
Structure: relaxed

Values from the calculation:
As for the calculated total energy: -58.24 eV for the cell shown. Its energy above the most stable polymorph in this dataset is 75 meV/atom. As for the spin magnetization: 0.00 μB/f.u. The value obtained for the density of states at the Fermi level is 7.80 states/eV/f.u. As for the calculated volume: 26.28 Å³/atom. The calculation puts the energy relative to the elements at 0.016 eV/atom.

Structure (CIF):
```
data_YSc3Al
_space_group_name_H-M_alt 'P 1 21/m 1'
_space_group_IT_number 11
_space_group_name_Hall '-P 2yb'
_cell_length_a 3.2728
_cell_length_b 10.2026
_cell_length_c 8.0376
_cell_angle_alpha 90.00
_cell_angle_beta 101.73
_cell_angle_gamma 90.00
loop_
_atom_site_label
_atom_site_type_symbol
_atom_site_fract_x
_atom_site_fract_y
_atom_site_fract_z
Y1 Y 0.0092 0.2500 0.0199
Sc1 Sc 0.1581 0.5129 0.3161
Sc2 Sc 0.2999 0.7500 0.5992
Al1 Al 0.3501 0.2500 0.7008
```

Compound: NaZn2H6
Source: Alexandria
Functional: PBE
Structure: relaxed

Values from the calculation:
As for the calculated total energy: -45.00 eV for the cell shown. As for the spin magnetization: 0.00 μB/f.u. The value obtained for the density of states at the Fermi level is 0.34 states/eV/f.u. As for the calculated volume: 11.71 Å³/atom.

Structure (CIF):
```
data_NaZn2H6
_space_group_name_H-M_alt 'C 1 2/m 1'
_space_group_IT_number 12
_space_group_name_Hall '-C 2y'
_cell_length_a 10.6924
_cell_length_b 3.4358
_cell_length_c 5.8749
_cell_angle_alpha 90.00
_cell_angle_beta 102.31
_cell_angle_gamma 90.00
loop_
_atom_site_label
_atom_site_type_symbol
_atom_site_fract_x
_atom_site_fract_y
_atom_site_fract_z
Na1 Na 0.0000 0.0000 0.0000
Zn1 Zn 0.2310 0.0000 0.6941
H1 H 0.0827 0.0000 0.6816
H2 H 0.1362 0.5000 0.1212
H3 H 0.2208 0.5000 0.5968
```

Compound: Sc2MnGe2
Source: Alexandria
Functional: PBE
Structure: relaxed

Values from the calculation:
As for the calculated total energy: -134.91 eV for the cell shown. As for the spin magnetization: 2.84 μB/f.u. The value obtained for the density of states at the Fermi level is 3.70 states/eV/f.u. As for the calculated volume: 18.36 Å³/atom. The calculation puts the energy relative to the elements at -0.532 eV/atom.

Structure (CIF):
```
data_Sc2MnGe2
_space_group_name_H-M_alt 'C m c 21'
_space_group_IT_number 36
_space_group_name_Hall 'C 2c -2'
_cell_length_a 4.2989
_cell_length_b 15.0545
_cell_length_c 5.6750
_cell_angle_alpha 90.00
_cell_angle_beta 90.00
_cell_angle_gamma 90.00
loop_
_atom_site_label
_atom_site_type_symbol
_atom_site_fract_x
_atom_site_fract_y
_atom_site_fract_z
Sc1 Sc 0.0000 0.0001 0.0000
Sc2 Sc 0.0000 0.2038 0.2506
Mn1 Mn 0.0000 0.4072 0.2496
Ge1 Ge 0.0000 0.1729 0.7504
Ge2 Ge 0.0000 0.4211 0.7500
```

Compound: TbAlPb
Source: Alexandria
Functional: PBE
Structure: relaxed

Values from the calculation:
As for the calculated total energy: -12.81 eV for the cell shown. As for the spin magnetization: 0.00 μB/f.u. The value obtained for the density of states at the Fermi level is 0.64 states/eV/f.u. As for the calculated volume: 25.87 Å³/atom. The calculation puts the energy relative to the elements at -0.244 eV/atom.

Structure (CIF):
```
data_TbAlPb
_space_group_name_H-M_alt 'P 3 m 1'
_space_group_IT_number 156
_space_group_name_Hall 'P 3 -2"'
_cell_length_a 4.5291
_cell_length_b 4.5291
_cell_length_c 4.3694
_cell_angle_alpha 90.00
_cell_angle_beta 90.00
_cell_angle_gamma 120.00
loop_
_atom_site_label
_atom_site_type_symbol
_atom_site_fract_x
_atom_site_fract_y
_atom_site_fract_z
Tb1 Tb 0.0000 0.0000 0.0000
Al1 Al 0.3333 0.6667 0.6420
Pb1 Pb 0.6667 0.3333 0.4249
```

Compound: ScTcMo2
Source: Alexandria
Functional: PBE
Structure: relaxed

Values from the calculation:
As for the calculated total energy: -74.88 eV for the cell shown. Its energy above the most stable polymorph in this dataset is 339 meV/atom. As for the spin magnetization: 0.00 μB/f.u. The value obtained for the density of states at the Fermi level is 3.73 states/eV/f.u. As for the calculated volume: 16.66 Å³/atom. The calculation puts the energy relative to the elements at 0.230 eV/atom.

Structure (CIF):
```
data_ScTcMo2
_space_group_name_H-M_alt 'C 1 m 1'
_space_group_IT_number 8
_space_group_name_Hall 'C -2y'
_cell_length_a 8.9455
_cell_length_b 2.8329
_cell_length_c 5.2597
_cell_angle_alpha 90.00
_cell_angle_beta 90.67
_cell_angle_gamma 90.00
loop_
_atom_site_label
_atom_site_type_symbol
_atom_site_fract_x
_atom_site_fract_y
_atom_site_fract_z
Sc1 Sc 0.0000 0.0000 0.0000
Tc1 Tc 0.2524 0.0000 0.2508
Mo1 Mo 0.9997 0.5000 0.4945
Mo2 Mo 0.2466 0.5000 0.7380
```

The lowest calculated total energy belongs to which entry?
Sc2MnGe2

Look up the calculated total energy of the eighth one.
-74.88 eV for the cell shown

Repeat the first record exactly.
Compound: RbScSb2I
Source: Alexandria
Functional: PBE
Structure: relaxed

Values from the calculation:
As for the calculated total energy: -12.13 eV for the cell shown. Its energy above the most stable polymorph in this dataset is 1476 meV/atom. As for the energy relative to the elements, uncorrected: 991.9 meV per atom. As for the spin magnetization: 0.00 μB/f.u. The value obtained for the density of states at the Fermi level is 5.84 states/eV/f.u. As for the calculated volume: 43.18 Å³/atom.

Structure (CIF):
```
data_RbScSb2I
_space_group_name_H-M_alt 'P 4/m m m'
_space_group_IT_number 123
_space_group_name_Hall '-P 4 2'
_cell_length_a 5.9353
_cell_length_b 5.9353
_cell_length_c 6.1289
_cell_angle_alpha 90.00
_cell_angle_beta 90.00
_cell_angle_gamma 90.00
loop_
_atom_site_label
_atom_site_type_symbol
_atom_site_fract_x
_atom_site_fract_y
_atom_site_fract_z
Rb1 Rb 0.0000 0.0000 0.0000
Sc1 Sc 0.5000 0.5000 0.5000
Sb1 Sb 0.0000 0.5000 0.0000
I1 I 0.0000 0.0000 0.5000
```

What is the formula in the third record?
BeNiTe